Compound: Li3Y2Se4
Source: Alexandria via LeMat-Bulk
Functional: PBE-GGA
Structure: relaxed

Its formation energy (no corrections) is -13.43 eV/f.u. As for the total magnetization: 0.58 μB per formula unit. Its density of states at the Fermi level is 2.59 states/eV/f.u. The space group is C2/m (12). The total energy is -46.042 eV for the cell shown.

```
9
Lattice="3.501 -2.021 0.000 3.501 2.021 0.000 -0.006 0.000 15.263" Properties=species:S:1:pos:R:3 pbc="T T T"
Li 0.000 0.000 0.000
Li 2.337 0.000 6.036
Li 4.658 0.000 9.227
Y 2.323 0.000 12.038
Y 4.673 0.000 3.225
Se 0.005 0.000 5.005
Se 2.339 0.000 1.589
Se 4.657 0.000 13.674
Se 6.991 0.000 10.259
```


Compound: Y2AlIr
Source: Alexandria via LeMat-Bulk
Functional: PBE-GGA
Structure: relaxed

The formation energy from the elements is -338 meV/atom. As for the total magnetization: 0.00 μB per formula unit. Its density of states at the Fermi level is 3.07 states/eV/f.u. The space group is R-3m (166). The total energy is -26.884 eV for the cell shown.

```
4
Lattice="1.926 1.112 7.954 -1.926 1.112 7.954 0.000 -2.224 7.954" Properties=species:S:1:pos:R:3 pbc="T T T"
Y 0.000 0.000 5.656
Y 0.000 0.000 18.204
Al 0.000 0.000 0.000
Ir 0.000 0.000 11.930
```


Compound: ReTeSe
Source: Alexandria via LeMat-Bulk
Functional: PBE-GGA
Structure: relaxed

Its formation energy (no corrections) is 0.50 eV/f.u. As for the total magnetization: 0.00 μB per formula unit. Its density of states at the Fermi level is 0.47 states/eV/f.u. The space group is C2/m (12). The total energy is -37.141 eV for the cell shown.

```
6
Lattice="5.242 -2.082 0.000 5.242 2.082 0.000 -3.561 0.000 6.876" Properties=species:S:1:pos:R:3 pbc="T T T"
Re 1.681 0.000 0.096
Re 5.241 0.000 6.780
Te 0.003 0.000 4.972
Te 6.919 0.000 1.904
Se 3.926 0.000 1.349
Se 2.997 0.000 5.527
```


Compound: LiNbGaPd
Source: Alexandria via LeMat-Bulk
Functional: PBE-GGA
Structure: relaxed

The formation energy from the elements is -276 meV/atom. As for the total magnetization: 0.00 μB per formula unit. Its density of states at the Fermi level is 2.24 states/eV/f.u. The space group is F-43m (216). The total energy is -21.309 eV for the cell shown.

```
4
Lattice="0.000 3.150 3.150 3.150 0.000 3.150 3.150 3.150 0.000" Properties=species:S:1:pos:R:3 pbc="T T T"
Li 0.000 0.000 0.000
Nb 3.150 3.150 3.150
Ga 1.575 1.575 1.575
Pd 4.725 4.725 4.725
```


Compound: Al5VIr6
Source: Alexandria via LeMat-Bulk
Functional: PBE-GGA
Structure: relaxed

The formation energy from the elements is -822 meV/atom. As for the total magnetization: 1.02 μB per formula unit. Its density of states at the Fermi level is 6.98 states/eV/f.u. The space group is Immm (71). The total energy is -90.858 eV for the cell shown.

```
12
Lattice="-2.086 3.191 6.264 2.086 -3.191 6.264 2.086 3.191 -6.264" Properties=species:S:1:pos:R:3 pbc="T T T"
Al 0.000 0.000 0.000
Al 2.086 0.000 2.105
Al 0.000 0.000 4.205
Al 0.000 0.000 8.323
Al 0.000 3.191 4.159
V 0.000 3.191 0.000
Ir 2.086 -1.613 4.180
Ir 2.086 1.574 0.000
Ir 0.000 1.578 2.084
Ir 2.086 1.613 4.180
Ir 0.000 1.617 6.264
Ir 0.000 4.805 2.084
```


Compound: PrNd2Sm2Y2
Source: Alexandria via LeMat-Bulk
Functional: PBE-GGA
Structure: relaxed

The formation energy from the elements is 13 meV/atom. As for the total magnetization: 0.00 μB per formula unit. Its density of states at the Fermi level is 9.69 states/eV/f.u. The space group is C2/m (12). The total energy is -36.589 eV for the cell shown.

```
7
Lattice="5.741 -2.575 0.000 5.741 2.575 0.000 -1.139 0.000 8.080" Properties=species:S:1:pos:R:3 pbc="T T T"
Pr 0.000 0.000 0.000
Nd 4.592 0.000 2.308
Nd 5.752 0.000 5.772
Sm 1.153 0.000 3.473
Sm 9.191 0.000 4.607
Y 2.306 0.000 6.922
Y 8.038 0.000 1.158
```